Computed, not measured: a relaxed ZrPt2 crystal at the PBE-GGA level of DFT.

a b c (Å): 2.953 2.953 6.972
angles (deg): 90.00 90.00 120.00
Fractional coordinates of all 3 atoms:
Pt 0.333 0.667 0.662
Zr 0.667 0.333 0.333
Pt 0.000 0.000 0.005

## Properties
For the calculated formation energy, the calculation gives -486 meV/atom.

=====

Computed, not measured: a relaxed ZrPt8 crystal at the PBE-GGA level of DFT.

a b c (Å): 4.008 6.339 6.339
angles (deg): 84.26 71.62 71.62
Fractional coordinates of all 9 atoms:
Pt 0.335 0.000 0.331
Pt 0.335 0.331 0.000
Pt 0.000 0.668 0.332
Pt 0.668 0.332 0.332
Pt 0.332 0.668 0.668
Pt 0.665 0.000 0.669
Pt 0.665 0.669 0.000
Pt 0.000 0.332 0.668
Zr 0.000 0.000 0.000

## Properties
For the calculated formation energy, the calculation gives -509 meV/atom.

=====

Computed, not measured: a relaxed Zr5Pt crystal at the PBE-GGA level of DFT.

a b c (Å): 5.617 5.617 5.093
angles (deg): 90.00 90.00 120.00
Fractional coordinates of all 6 atoms:
Zr 0.500 0.500 0.500
Zr 0.500 0.000 0.500
Zr 0.667 0.333 0.000
Zr 0.333 0.667 0.000
Zr 0.000 0.500 0.500
Pt 0.000 0.000 0.000

## Properties
For the excess energy over the best structure of this formula in the dataset, the calculation gives 878 meV/atom. For the calculated formation energy, the calculation gives 542 meV/atom.

=====

Computed, not measured: a relaxed Zr4Pt crystal at the PBE-GGA level of DFT.

a b c (Å): 7.633 7.541 6.160
angles (deg): 100.59 106.16 131.96
Fractional coordinates of all 10 atoms:
Pt 0.406 0.355 0.043
Pt 0.705 0.255 0.657
Zr 0.306 0.683 0.364
Zr 0.657 0.212 0.179
Zr 0.010 0.766 0.072
Zr 0.864 0.041 0.895
Zr 0.247 0.570 0.805
Zr 0.100 0.845 0.628
Zr 0.453 0.399 0.521
Zr 0.804 0.928 0.336

## Properties
For the excess energy over the best structure of this formula in the dataset, the calculation gives 19 meV/atom. For the calculated formation energy, the calculation gives -402 meV/atom.

=====

Computed, not measured: a relaxed Zr4Pt5 crystal at the PBE-GGA level of DFT.

a b c (Å): 6.586 6.586 6.586
angles (deg): 96.03 96.03 142.18
Fractional coordinates of all 9 atoms:
Zr 0.689 0.000 0.689
Zr 0.311 0.000 0.311
Pt 0.000 0.000 0.000
Pt 0.668 0.332 0.000
Pt 0.332 0.668 0.000
Pt 0.668 0.668 0.336
Zr 0.000 0.311 0.311
Pt 0.332 0.332 0.664
Zr 0.000 0.689 0.689

## Properties
For the excess energy over the best structure of this formula in the dataset, the calculation gives 84 meV/atom. For the calculated formation energy, the calculation gives -856 meV/atom.

=====

Computed, not measured: a relaxed ZrPt4 crystal at the PBE-GGA level of DFT.

a b c (Å): 5.154 5.154 5.154
angles (deg): 109.47 109.47 109.47
Fractional coordinates of all 5 atoms:
Pt 0.500 0.000 0.000
Zr 0.000 0.000 0.000
Pt 0.000 0.500 0.000
Pt 0.000 0.000 0.500
Pt 0.500 0.500 0.500

## Properties
For the excess energy over the best structure of this formula in the dataset, the calculation gives 1013 meV/atom. For the calculated formation energy, the calculation gives 214 meV/atom.

=====

Computed, not measured: a relaxed Zr8Pt crystal at the PBE-GGA level of DFT.

a b c (Å): 7.154 7.154 7.154
angles (deg): 95.02 95.02 145.58
Fractional coordinates of all 9 atoms:
Zr 0.336 0.664 0.000
Zr 0.331 0.000 0.331
Zr 0.000 0.669 0.669
Zr 0.336 0.336 0.673
Zr 0.000 0.331 0.331
Zr 0.669 0.000 0.669
Zr 0.664 0.336 0.000
Zr 0.664 0.664 0.327
Pt 0.000 0.000 0.000

## Properties
For the calculated formation energy, the calculation gives -143 meV/atom.

=====

Computed, not measured: a relaxed ZrPt4 crystal at the PBE-GGA level of DFT.

a b c (Å): 4.874 4.874 4.874
angles (deg): 90.00 90.00 90.00
Fractional coordinates of all 5 atoms:
Zr 0.500 0.500 0.500
Pt 0.000 0.500 0.500
Pt 0.000 0.000 0.000
Pt 0.500 0.000 0.500
Pt 0.500 0.500 0.000

## Properties
For the excess energy over the best structure of this formula in the dataset, the calculation gives 1864 meV/atom. For the calculated formation energy, the calculation gives 1065 meV/atom.

=====

Computed, not measured: a relaxed ZrPt2 crystal at the PBE-GGA level of DFT.

a b c (Å): 6.389 6.389 6.389
angles (deg): 90.00 90.00 90.00
Fractional coordinates of all 12 atoms:
Pt 0.384 0.384 0.384
Pt 0.616 0.884 0.116
Pt 0.116 0.616 0.884
Pt 0.116 0.884 0.384
Zr 0.500 0.000 0.500
Pt 0.384 0.116 0.884
Zr 0.000 0.000 0.000
Pt 0.884 0.384 0.116
Zr 0.000 0.500 0.500
Pt 0.616 0.616 0.616
Zr 0.500 0.500 0.000
Pt 0.884 0.116 0.616

## Properties
For the calculated formation energy, the calculation gives -299 meV/atom.

=====

Computed, not measured: a relaxed ZrPt4 crystal at the PBE-GGA level of DFT.

a b c (Å): 4.964 4.964 4.964
angles (deg): 99.60 99.60 131.79
Fractional coordinates of all 5 atoms:
Zr 0.000 0.000 0.000
Pt 0.598 0.802 0.401
Pt 0.402 0.198 0.599
Pt 0.198 0.598 0.796
Pt 0.802 0.402 0.204

## Properties
For the excess energy over the best structure of this formula in the dataset, the calculation gives 76 meV/atom. For the calculated formation energy, the calculation gives -723 meV/atom.

=====

Computed, not measured: a relaxed Zr3Pt4 crystal at the PBE-GGA level of DFT.

a b c (Å): 5.475 5.475 5.054
angles (deg): 90.00 90.00 120.00
Fractional coordinates of all 7 atoms:
Zr 0.500 0.500 0.000
Zr 0.500 0.000 0.000
Pt 0.333 0.667 0.500
Pt 0.667 0.333 0.500
Zr 0.000 0.500 0.000
Pt 0.000 0.000 0.259
Pt 0.000 0.000 0.741

## Properties
For the excess energy over the best structure of this formula in the dataset, the calculation gives 742 meV/atom. For the calculated formation energy, the calculation gives -323 meV/atom.

=====

Computed, not measured: a relaxed Zr7Pt3 crystal at the PBE-GGA level of DFT.

a b c (Å): 5.841 9.268 9.268
angles (deg): 120.00 90.00 90.00
Fractional coordinates of all 20 atoms:
Zr 0.646 0.542 0.458
Zr 0.646 0.917 0.458
Zr 0.080 0.667 0.333
Zr 0.146 0.083 0.542
Zr 0.927 0.270 0.135
Zr 0.927 0.865 0.135
Zr 0.646 0.542 0.083
Pt 0.869 0.622 0.811
Pt 0.869 0.189 0.811
Zr 0.427 0.730 0.865
Zr 0.427 0.135 0.270
Zr 0.146 0.458 0.542
Zr 0.580 0.333 0.667
Pt 0.869 0.189 0.378
Pt 0.369 0.378 0.189
Zr 0.146 0.458 0.917
Zr 0.427 0.135 0.865
Zr 0.927 0.865 0.730
Pt 0.369 0.811 0.189
Pt 0.369 0.811 0.622

## Properties
For the calculated formation energy, the calculation gives -672 meV/atom.

=====

> Among the records above, which one has the lowest calculated formation energy?

Zr4Pt5